Density functional theory data (PBE with a Hubbard U) for a relaxed structure of LiFePO4.

The total magnetization is 0.5714 μB/atom. The energy relative to the lowest polymorph listed for this composition is 0.031 eV per atom.

The space group is I-4 (No. 82) and the conventional cell measures 4.825, 4.825 and 7.700 Å, with angles of 90.00, 90.00 and 90.00 degrees. The inequivalent atoms are Li at (0.000, 0.000, 0.000), Fe at (0.000, 0.000, 0.500), P at (0.000, 0.500, 0.250) and O at (0.187, 0.688, 0.135).